A plane-wave DFT calculation with GGA-PBEsol was carried out for AlHgRh2 after structural relaxation.

a b c (Å): 2.9880 2.9880 6.6226
angles (deg): 90.00 90.00 90.00
With the nearest neighbours (Å) after each atom.
Element x y z (fractional)
Al 0.0000 0.0000 0.0000  8 Rh 2.55
Hg 0.0000 0.0000 0.5000  8 Rh 2.83, 4 Hg 2.99
Rh 0.5000 0.5000 0.2162  4 Al 2.55, 4 Hg 2.83
Rh 0.5000 0.5000 0.7838  4 Al 2.55, 4 Hg 2.83

**DOS at the Fermi energy**: 1.7 states/eV per cell
**Offset from the most stable computed form**: 0 meV/atom
**E_form**: -2.0 eV per formula unit

A plane-wave DFT calculation with GGA-PBEsol was carried out for MnCo2Tc after structural relaxation.

a b c (Å): 2.5010 3.9864 4.3952
angles (deg): 90.00 90.00 90.00
With the nearest neighbours (Å) after each atom.
Element x y z (fractional)
Mn 0.0000 0.0000 0.0000  8 Co 2.44-2.62, 2 Tc 2.49, 2 Mn 2.50
Co 0.5000 0.0000 0.4768  4 Co 2.43-2.50, 4 Mn 2.44-2.62, 4 Tc 2.49
Co 0.5000 0.5000 0.1595  4 Co 2.43-2.50, 4 Mn 2.46, 4 Tc 2.52-2.54
Tc 0.0000 0.5000 0.6615  2 Mn 2.49, 8 Co 2.49-2.54, 2 Tc 2.50

**DOS at the Fermi energy**: 3.3 states/eV per cell
**E_form**: -0.1 eV per formula unit

A plane-wave DFT calculation with GGA-PBEsol was carried out for ZrInMo2 after structural relaxation.

a b c (Å): 5.4244 5.4244 5.4244
angles (deg): 143.71 129.51 63.75
With the nearest neighbours (Å) after each atom.
Element x y z (fractional)
Zr 0.0000 0.0000 0.0000  6 Mo 2.88-2.89, 4 In 3.04-3.11
In 0.7251 0.2251 0.5000  8 Mo 2.88-3.19, 4 Zr 3.04-3.11
Mo 0.2545 0.7545 0.5000  2 Mo 2.56
Mo 0.4633 0.4633 0.0000  2 Mo 2.56

**DOS at the Fermi energy**: 2.9 states/eV per cell
**E_form**: 0.1 eV per formula unit

A plane-wave DFT calculation with GGA-PBEsol was carried out for ScNiAs after structural relaxation.

a b c (Å): 3.9137 3.9137 3.5473
angles (deg): 90.00 90.00 120.00
With the nearest neighbours (Å) after each atom.
Element x y z (fractional)
Sc 0.0000 0.0000 0.0000  6 As 2.87, 6 Ni 2.87
Ni 0.6667 0.3333 0.5000  3 As 2.26
As 0.3333 0.6667 0.5000  3 Ni 2.26

**DOS at the Fermi energy**: 1.6 states/eV per cell
**E_form**: -3.0 eV per formula unit

A plane-wave DFT calculation with GGA-PBEsol was carried out for BaLiB9O15 after structural relaxation.

a b c (Å): 8.5312 8.5312 8.5312
angles (deg): 79.98 79.98 79.98
With the nearest neighbours (Å) after each atom.
Element x y z (fractional)
Ba 0.0000 0.0000 0.0000  12 O 2.89-3.14
Ba 0.5000 0.5000 0.5000  12 O 2.89-3.14
Li 0.2652 0.2652 0.2652  3 O 1.92
Li 0.7652 0.7652 0.7652  3 O 1.92
B 0.0713 0.7394 0.5996  3 O 1.36-1.41
B 0.0996 0.2394 0.5713  3 O 1.36-1.41
B 0.1744 0.7398 0.3116  4 O 1.46-1.48
B 0.2394 0.5713 0.0996  3 O 1.36-1.41
B 0.2398 0.6744 0.8116  4 O 1.46-1.48
B 0.2466 0.3837 0.9131  3 O 1.36-1.41
B 0.3116 0.1744 0.7398  4 O 1.46-1.48
B 0.3837 0.9131 0.2466  3 O 1.36-1.41
B 0.4131 0.8837 0.7466  3 O 1.36-1.41
B 0.5713 0.0996 0.2394  3 O 1.36-1.41
B 0.5996 0.0713 0.7394  3 O 1.36-1.41
B 0.6744 0.8116 0.2398  4 O 1.46-1.48
B 0.7394 0.5996 0.0713  3 O 1.36-1.41
B 0.7398 0.3116 0.1744  4 O 1.46-1.48
B 0.7466 0.4131 0.8837  3 O 1.36-1.41
B 0.8116 0.2398 0.6744  4 O 1.46-1.48
B 0.8837 0.7466 0.4131  3 O 1.36-1.41
B 0.9131 0.2466 0.3837  3 O 1.36-1.41
O 0.0051 0.7651 0.2884  2 B 1.36-1.47
O 0.0704 0.2460 0.4127  2 B 1.41
O 0.0896 0.7552 0.7507  2 B 1.36-1.48
O 0.1971 0.7151 0.4808  2 B 1.36-1.46
O 0.2151 0.6971 0.9808  2 B 1.36-1.46
O 0.2304 0.2341 0.8905  2 B 1.36-1.48
O 0.2341 0.8905 0.2304  2 B 1.36-1.48
O 0.2460 0.4127 0.0704  2 B 1.41
O 0.2507 0.2552 0.5896  2 B 1.36-1.48
O 0.2552 0.5896 0.2507  2 B 1.36-1.48
O 0.2651 0.5051 0.7884  2 B 1.36-1.47
O 0.2884 0.0051 0.7651  2 B 1.36-1.47
O 0.3905 0.7341 0.7304  2 B 1.36-1.48
O 0.4127 0.0704 0.2460  2 B 1.41
O 0.4808 0.1971 0.7151  2 B 1.36-1.46
O 0.5051 0.7884 0.2651  2 B 1.36-1.47
O 0.5704 0.9127 0.7460  2 B 1.41
O 0.5896 0.2507 0.2552  2 B 1.36-1.48
O 0.6971 0.9808 0.2151  2 B 1.36-1.46
O 0.7151 0.4808 0.1971  2 B 1.36-1.46
O 0.7304 0.3905 0.7341  2 B 1.36-1.48
O 0.7341 0.7304 0.3905  2 B 1.36-1.48
O 0.7460 0.5704 0.9127  2 B 1.41
O 0.7507 0.0896 0.7552  2 B 1.36-1.48
O 0.7552 0.7507 0.0896  2 B 1.36-1.48
O 0.7651 0.2884 0.0051  2 B 1.36-1.47
O 0.7884 0.2651 0.5051  2 B 1.36-1.47
O 0.8905 0.2304 0.2341  2 B 1.36-1.48
O 0.9127 0.7460 0.5704  2 B 1.41
O 0.9808 0.2151 0.6971  2 B 1.36-1.46

**DOS at the Fermi energy**: 0.0 states/eV per cell
**Formation energy (no corrections)**: -2.554 eV/atom

A plane-wave DFT calculation with GGA-PBEsol was carried out for LaSb3 after structural relaxation.

a b c (Å): 6.2180 6.2180 6.2180
angles (deg): 116.76 116.76 116.76
With the nearest neighbours (Å) after each atom.
Element x y z (fractional)
La 0.0000 0.0000 0.0000  6 Sb 3.26, 2 La 3.40
Sb 0.0000 0.5000 0.5000  6 Sb 3.26-3.40, 2 La 3.26
Sb 0.5000 0.0000 0.5000  2 La 3.26, 6 Sb 3.26-3.40
Sb 0.5000 0.5000 0.0000  6 Sb 3.26-3.40, 2 La 3.26

**DOS at the Fermi energy**: 2.1 states/eV per cell
**Formation energy (no corrections)**: -0.443 eV/atom

A plane-wave DFT calculation with GGA-PBEsol was carried out for SiTe2Au after structural relaxation.

a b c (Å): 7.5508 7.5508 7.5508
angles (deg): 153.15 150.68 40.18
With the nearest neighbours (Å) after each atom.
Element x y z (fractional)
Si 0.0000 0.0000 0.0000  2 Au 2.52
Te 0.2782 0.7782 0.5000  4 Au 2.92
Te 0.5886 0.5886 0.0000  4 Si 2.88
Au 0.8724 0.3724 0.5000  2 Si 2.52

**DOS at the Fermi energy**: 2.3 states/eV per cell
**Formation energy (no corrections)**: 0.222 eV/atom

A plane-wave DFT calculation with GGA-PBEsol was carried out for NiMoRh2Br after structural relaxation.

a b c (Å): 4.6174 4.6174 4.7543
angles (deg): 90.00 90.00 90.00
With the nearest neighbours (Å) after each atom.
Element x y z (fractional)
Ni 0.0000 0.0000 0.0000  4 Br 3.26, 8 Rh 3.31
Mo 0.5000 0.5000 0.5000  4 Rh 2.31, 2 Br 2.38
Rh 0.0000 0.5000 0.5000  2 Mo 2.31
Rh 0.5000 0.0000 0.5000  2 Mo 2.31
Br 0.5000 0.5000 0.0000  2 Mo 2.38

**DOS at the Fermi energy**: 9.5 states/eV per cell
**Offset from the most stable computed form**: 0 meV/atom
**Formation energy (no corrections)**: 1.468 eV/atom

A plane-wave DFT calculation with GGA-PBEsol was carried out for BaI2NCl after structural relaxation.

a b c (Å): 6.3809 6.3809 3.6535
angles (deg): 90.00 90.00 90.00
With the nearest neighbours (Å) after each atom.
Element x y z (fractional)
Ba 0.0000 0.0000 0.0000  2 Ba 3.65, 8 I 3.68
I 0.0000 0.5000 0.5000  2 Cl 3.19
I 0.5000 0.0000 0.5000  2 Cl 3.19
N 0.5000 0.5000 0.0000  2 Cl 1.83
Cl 0.5000 0.5000 0.5000  2 N 1.83

**DOS at the Fermi energy**: 4.0 states/eV per cell
**Formation energy (no corrections)**: 0.141 eV/atom

A plane-wave DFT calculation with GGA-PBEsol was carried out for Cs2NaYRe after structural relaxation.

a b c (Å): 5.7506 5.7506 5.5716
angles (deg): 90.00 90.00 90.00
With the nearest neighbours (Å) after each atom.
Element x y z (fractional)
Cs 0.0000 0.5000 0.0000  2 Na 2.88
Cs 0.5000 0.0000 0.0000  2 Na 2.88
Na 0.0000 0.0000 0.0000  2 Re 2.79, 4 Cs 2.88
Y 0.5000 0.5000 0.5000  8 Cs 4.00, 4 Re 4.07
Re 0.0000 0.0000 0.5000  2 Na 2.79

**DOS at the Fermi energy**: 7.1 states/eV per cell
**E_form**: 9.4 eV per formula unit

A plane-wave DFT calculation with GGA-PBEsol was carried out for Ca3CrAs after structural relaxation.

a b c (Å): 5.5400 5.5400 5.5400
angles (deg): 90.00 90.00 90.00
With the nearest neighbours (Å) after each atom.
Element x y z (fractional)
Ca 0.0000 0.0000 0.5000  2 As 2.77
Ca 0.0000 0.5000 0.0000  2 As 2.77
Ca 0.5000 0.0000 0.0000  2 As 2.77
Cr 0.5000 0.5000 0.5000  12 Ca 3.92
As 0.0000 0.0000 0.0000  6 Ca 2.77

**DOS at the Fermi energy**: 2.9 states/eV per cell
**E_form**: 0.1 eV per formula unit

A plane-wave DFT calculation with GGA-PBEsol was carried out for ZrP3Br after structural relaxation.

a b c (Å): 4.6427 4.6427 4.6427
angles (deg): 90.00 90.00 90.00
With the nearest neighbours (Å) after each atom.
Element x y z (fractional)
Zr 0.0000 0.0000 0.0000  12 P 3.28
P 0.0000 0.5000 0.5000  2 Br 2.32
P 0.5000 0.0000 0.5000  2 Br 2.32
P 0.5000 0.5000 0.0000  2 Br 2.32
Br 0.5000 0.5000 0.5000  6 P 2.32

**DOS at the Fermi energy**: 3.8 states/eV per cell
**Formation energy (no corrections)**: 0.954 eV/atom

A plane-wave DFT calculation with GGA-PBEsol was carried out for RhSe2SBr after structural relaxation.

a b c (Å): 4.7510 4.7510 4.8995
angles (deg): 90.00 90.00 90.00
With the nearest neighbours (Å) after each atom.
Element x y z (fractional)
Rh 0.0000 0.0000 0.0000  4 Se 2.38, 2 Br 2.45
Se 0.0000 0.5000 0.0000  2 Rh 2.38
Se 0.5000 0.0000 0.0000  2 Rh 2.38
S 0.5000 0.5000 0.5000  4 Br 3.36, 8 Se 3.41
Br 0.0000 0.0000 0.5000  2 Rh 2.45

**DOS at the Fermi energy**: 5.0 states/eV per cell
**Formation energy (no corrections)**: 0.574 eV/atom